(1)
{"formula": "TlCuAs2", "functional": "PBEsol", "state": "optimized geometry", "final_energy_ev_per_atom": -4.051, "relative_energy_kj_per_mol_atoms": 18.2, "magmom_total_mub_per_atom": 0.00, "ef_ev_per_atom": 0.243, "space_group": "Immm (71)", "lattice_angstrom": [[2.979, 0.000, 0.000], [0.000, 5.169, 0.000], [-1.489, -2.585, 4.997]], "species": ["As", "As", "Cu", "Tl"], "fractional_positions": [[0.700, 0.700, 0.401], [0.300, 0.300, 0.599], [0.000, 0.500, 0.000], [0.500, 0.000, 0.000]]}



(2)
{"formula": "TlCu2As", "functional": "PBEsol", "state": "optimized geometry", "final_energy_ev_per_atom": -3.768, "magmom_total_mub_per_atom": 0.00, "ef_ev_per_atom": 0.333, "space_group": "P4/mmm (123)", "lattice_angstrom": [[3.685, 0.000, 0.000], [0.000, 4.229, 0.000], [0.000, 0.000, 4.229]], "species": ["As", "Cu", "Cu", "Tl"], "fractional_positions": [[0.500, 0.000, 0.000], [0.000, 0.000, 0.500], [0.000, 0.500, 0.000], [0.500, 0.500, 0.500]]}



(3)
{"formula": "Tl2CuAs2", "functional": "PBEsol", "state": "optimized geometry", "final_energy_ev_per_atom": -3.882, "magmom_total_mub_per_atom": 0.00, "ef_ev_per_atom": 0.080, "space_group": "P4/mbm (127)", "lattice_angstrom": [[5.636, 0.000, 0.000], [0.000, 6.283, 0.000], [0.000, 0.000, 6.283]], "species": ["Tl", "Tl", "Tl", "Tl", "As", "As", "As", "As", "Cu", "Cu"], "fractional_positions": [[0.500, 0.188, 0.688], [0.500, 0.688, 0.812], [0.500, 0.812, 0.312], [0.500, 0.312, 0.188], [0.000, 0.361, 0.861], [0.000, 0.861, 0.639], [0.000, 0.639, 0.139], [0.000, 0.139, 0.361], [0.000, 0.000, 0.000], [0.000, 0.500, 0.500]]}



(4)
{"formula": "TlCuAs2", "functional": "PBEsol", "state": "optimized geometry", "final_energy_ev_per_atom": -4.240, "relative_energy_kj_per_mol_atoms": 0.0, "magmom_total_mub_per_atom": 0.00, "ef_ev_per_atom": 0.054, "space_group": "P2/m (10)", "lattice_angstrom": [[-3.281, 1.897, 0.641], [-2.258, -3.525, -1.124], [0.837, -0.315, 5.219]], "species": ["Tl", "As", "As", "Cu"], "fractional_positions": [[0.500, 0.500, 0.000], [0.000, 0.226, 0.345], [0.000, 0.774, 0.655], [0.500, 0.000, 0.500]]}



(5)
{"formula": "TmCuAs2", "functional": "PBEsol", "state": "optimized geometry", "final_energy_ev_per_atom": -5.702, "magmom_total_mub_per_atom": 0.00, "ef_ev_per_atom": -0.841, "space_group": "P4/nmm (129)", "lattice_angstrom": [[-1.065, -1.315, -3.438], [3.542, -1.342, -0.584], [-2.504, -8.334, 3.964]], "species": ["As", "As", "As", "As", "Tm", "Tm", "Cu", "Cu"], "fractional_positions": [[0.000, 0.000, 0.000], [0.500, 0.500, 0.000], [0.000, 0.500, 0.336], [0.500, 0.000, 0.664], [0.000, 0.500, 0.762], [0.500, 0.000, 0.238], [0.500, 0.500, 0.500], [0.000, 0.000, 0.500]]}



(6)
{"formula": "CuAsW3", "functional": "PBEsol", "state": "optimized geometry", "final_energy_ev_per_atom": -8.271, "magmom_total_mub_per_atom": 0.00, "ef_ev_per_atom": 1.901, "space_group": "Pm-3m (221)", "lattice_angstrom": [[-2.365, 2.150, 3.215], [-3.849, -0.935, -2.206], [-0.382, -3.880, 2.313]], "species": ["As", "Cu", "W", "W", "W"], "fractional_positions": [[0.000, 0.000, 0.000], [0.500, 0.500, 0.500], [0.000, 0.500, 0.000], [0.000, 0.000, 0.500], [0.500, 0.000, 0.000]]}



(7)
{"formula": "Cu2AsW", "functional": "PBEsol", "state": "optimized geometry", "final_energy_ev_per_atom": -6.602, "magmom_total_mub_per_atom": 0.00, "ef_ev_per_atom": 0.294, "space_group": "C2/m (12)", "lattice_angstrom": [[2.661, 0.148, 0.263], [-0.276, 4.801, 0.157], [-0.276, -2.349, 4.190]], "species": ["As", "Cu", "Cu", "W"], "fractional_positions": [[0.500, 0.000, 0.000], [0.000, 0.500, 0.000], [0.000, 0.000, 0.500], [0.500, 0.500, 0.500]]}



(8)
{"formula": "CuAsW2", "functional": "PBEsol", "state": "optimized geometry", "final_energy_ev_per_atom": -8.924, "magmom_total_mub_per_atom": 0.00, "ef_ev_per_atom": 0.340, "space_group": "Cm (8)", "lattice_angstrom": [[2.928, 0.000, 0.000], [0.000, 4.451, -0.007], [-1.464, -1.350, 4.386]], "species": ["As", "Cu", "W", "W"], "fractional_positions": [[0.512, 0.467, 0.023], [0.238, 0.789, 0.476], [0.982, 0.943, 0.963], [0.769, 0.302, 0.538]]}



(9)
{"formula": "Y2CuAs", "functional": "PBEsol", "state": "optimized geometry", "final_energy_ev_per_atom": -6.623, "magmom_total_mub_per_atom": 0.03, "ef_ev_per_atom": -0.852, "space_group": "Amm2 (38)", "lattice_angstrom": [[3.997, 0.000, 0.000], [0.000, 4.013, 0.000], [-1.998, 0.000, 5.296]], "species": ["Y", "Y", "As", "Cu"], "fractional_positions": [[0.982, 0.500, 0.964], [0.267, 0.000, 0.534], [0.550, 0.000, 0.100], [0.701, 0.500, 0.402]]}



(10)
{"formula": "YCuAs2", "functional": "PBEsol", "state": "optimized geometry", "final_energy_ev_per_atom": -6.217, "magmom_total_mub_per_atom": 0.00, "ef_ev_per_atom": -0.875, "space_group": "P4/nmm (129)", "lattice_angstrom": [[3.857, 0.000, 0.000], [0.000, 3.857, 0.000], [0.000, 0.000, 9.700]], "species": ["Y", "Y", "As", "As", "As", "As", "Cu", "Cu"], "fractional_positions": [[0.000, 0.500, 0.762], [0.500, 0.000, 0.238], [0.000, 0.000, 0.000], [0.500, 0.500, 0.000], [0.000, 0.500, 0.340], [0.500, 0.000, 0.660], [0.500, 0.500, 0.500], [0.000, 0.000, 0.500]]}



(11)
{"formula": "YCuAs2", "functional": "PBEsol", "state": "optimized geometry", "final_energy_ev_per_atom": -5.750, "magmom_total_mub_per_atom": 0.00, "ef_ev_per_atom": -0.408, "space_group": "Cmmm (65)", "lattice_angstrom": [[-0.131, -3.364, -1.088], [3.368, 0.753, 0.777], [-0.963, -1.914, 6.032]], "species": ["As", "As", "Cu", "Y"], "fractional_positions": [[0.000, 0.000, 0.285], [0.000, 0.000, 0.715], [0.500, 0.500, 0.500], [0.500, 0.500, 0.000]]}



(12)
{"formula": "YCuAs2", "functional": "PBEsol", "state": "optimized geometry", "final_energy_ev_per_atom": -5.846, "magmom_total_mub_per_atom": 0.00, "ef_ev_per_atom": -0.504, "space_group": "I-4m2 (119)", "lattice_angstrom": [[-3.770, -0.234, -1.153], [-1.035, -1.180, 3.624], [1.743, 5.141, 0.020]], "species": ["As", "As", "Cu", "Y"], "fractional_positions": [[0.000, 0.000, 0.000], [0.750, 0.250, 0.500], [0.500, 0.500, 0.000], [0.250, 0.750, 0.500]]}